This record from Alexandria via LeMat-Bulk describes LiScTlF6 after structural relaxation. The functional is PBE.

abc: 5.7818 5.7818 8.8559
angles: 90.00 90.00 120.00
Each line ends with the local moment (μB).
Element x y z (fractional)
Tl 0.6667 0.3333 0.7500  0.23
Tl 0.3333 0.6667 0.2500  0.23
F 0.3573 0.3053 0.3771  0.04
F 0.3053 0.9480 0.6229  0.04
F 0.6427 0.9480 0.8771  0.04
F 0.3573 0.0520 0.1229  0.04
F 0.9480 0.6427 0.3771  0.04
F 0.6427 0.6947 0.6229  0.04
F 0.0520 0.6947 0.8771  0.04
F 0.0520 0.3573 0.6229  0.04
F 0.6947 0.0520 0.3771  0.04
F 0.6947 0.6427 0.1229  0.04
F 0.3053 0.3573 0.8771  0.04
F 0.9480 0.3053 0.1229  0.04
Sc 0.3333 0.6667 0.7500  0.00
Sc 0.6667 0.3333 0.2500  0.00
Li 0.0000 0.0000 0.5000  0.00
Li 0.0000 0.0000 0.0000  0.00

Computed properties:
ΔE_f (raw)	-2.8720	eV/atom
raw total energy	-95.4	eV/cell
ρ	4.80	g/cm³
Fermi-level density of states	0.432	states/eV per atom

***

This record from Alexandria via LeMat-Bulk describes LiSc3Tl2F12 after structural relaxation. The functional is PBE.

abc: 7.6116 7.6116 7.6116
angles: 61.15 61.15 61.15
Element x y z (fractional)
Tl 0.6646 0.6646 0.6646
Tl 0.3354 0.3354 0.3354
F 0.3123 0.3123 0.9402
F 0.9247 0.9247 0.3347
F 0.3347 0.9247 0.9247
F 0.6653 0.0753 0.0753
F 0.0753 0.6653 0.0753
F 0.3123 0.9402 0.3123
F 0.0598 0.6877 0.6877
F 0.0753 0.0753 0.6653
F 0.9247 0.3347 0.9247
F 0.6877 0.0598 0.6877
F 0.6877 0.6877 0.0598
F 0.9402 0.3123 0.3123
Sc 0.0000 0.0000 0.5000
Sc 0.0000 0.5000 0.0000
Sc 0.5000 0.0000 0.0000
Li 0.0000 0.0000 0.0000

Computed properties:
ΔE_f (raw)	-3.3544	eV/atom
raw total energy	-108.5	eV/cell
ρ	4.04	g/cm³
Fermi-level density of states	0.000	states/eV per atom

***

This record from Alexandria via LeMat-Bulk describes Li2ScTl3F9 after structural relaxation. The functional is PBE.

abc: 5.8622 5.8622 7.3084
angles: 90.00 90.00 120.00
Element x y z (fractional)
Tl 0.0000 0.0000 0.0000
Tl 0.6667 0.3333 0.2559
Tl 0.3333 0.6667 0.7441
Sc 0.0000 0.0000 0.5000
F 0.1634 0.8366 0.3369
F 0.6733 0.8366 0.3369
F 0.5000 0.5000 0.0000
F 0.8366 0.1634 0.6631
F 0.3267 0.1634 0.6631
F 0.1634 0.3267 0.3369
F 0.8366 0.6733 0.6631
F 0.0000 0.5000 0.0000
F 0.5000 0.0000 0.0000
Li 0.6667 0.3333 0.8121
Li 0.3333 0.6667 0.1879

Computed properties:
ΔE_f (raw)	-2.6266	eV/atom
raw total energy	-73.5	eV/cell
ρ	6.44	g/cm³
Fermi-level density of states	0.498	states/eV per atom

***

This record from Alexandria via LeMat-Bulk describes LiScTl2F6 after structural relaxation. The functional is PBE.

abc: 5.9999 6.0008 8.4765
angles: 90.00 90.00 90.00
Element x y z (fractional)
F 0.5000 0.2502 0.2579
F 0.7580 0.5079 0.0000
F 0.7420 0.4921 0.5000
F 0.2420 0.5079 0.0000
F 0.2580 0.4921 0.5000
F 0.0000 0.7498 0.7579
F 0.7419 0.0083 0.5000
F 0.0000 0.7498 0.2421
F 0.7581 0.9917 0.0000
F 0.2419 0.9917 0.0000
F 0.5000 0.2502 0.7421
F 0.2581 0.0083 0.5000
Tl 0.0000 0.2498 0.7501
Tl 0.0000 0.2498 0.2499
Tl 0.5000 0.7502 0.2501
Tl 0.5000 0.7502 0.7499
Li 0.0000 0.7498 0.5000
Li 0.5000 0.2502 0.0000
Sc 0.0000 0.7497 0.0000
Sc 0.5000 0.2503 0.5000

Computed properties:
ΔE_f (raw)	-2.9042	eV/atom
raw total energy	-106.5	eV/cell
ρ	6.25	g/cm³
Fermi-level density of states	0.000	states/eV per atom

***

Q: Which formula does entry 3 have?
A: Li2ScTl3F9